# 1
PmSmMgSi PBE relaxed; SG = F-43m; formation energy from raw total energies = -288 meV/atom
1.0
0.000 3.677 3.677
3.677 0.000 3.677
3.677 3.677 0.000
Pm Sm Mg Si
1 1 1 1
Direct
0.000 0.000 0.000 Pm
0.500 0.500 0.500 Sm
0.250 0.250 0.250 Mg
0.750 0.750 0.750 Si

# 2
CaLaCd5 PBE relaxed; SG = P4/mmm; energy relative to the elements = -128 meV/atom
1.0
4.700 0.000 0.000
0.000 4.700 0.000
0.000 0.000 9.313
Ca La Cd
1 1 5
Direct
0.000 0.000 0.000 Ca
0.500 0.500 0.500 La
0.000 0.000 0.500 Cd
0.000 0.500 0.246 Cd
0.000 0.500 0.754 Cd
0.500 0.000 0.246 Cd
0.500 0.000 0.754 Cd

# 3
TmMg4Cd15 PBE relaxed; SG = P4/mmm; energy relative to the elements = -106 meV/atom
1.0
4.573 0.000 0.000
0.000 4.573 0.000
0.000 0.000 21.313
Tm Mg Cd
1 4 15
Direct
0.000 0.000 0.000 Tm
0.000 0.000 0.202 Mg
0.000 0.000 0.402 Mg
0.000 0.000 0.598 Mg
0.000 0.000 0.798 Mg
0.000 0.500 0.105 Cd
0.000 0.500 0.302 Cd
0.000 0.500 0.500 Cd
0.000 0.500 0.698 Cd
0.000 0.500 0.895 Cd
0.500 0.000 0.105 Cd
0.500 0.000 0.302 Cd
0.500 0.000 0.500 Cd
0.500 0.000 0.698 Cd
0.500 0.000 0.895 Cd
0.500 0.500 0.000 Cd
0.500 0.500 0.205 Cd
0.500 0.500 0.399 Cd
0.500 0.500 0.601 Cd
0.500 0.500 0.795 Cd

| no. | E (eV per atom) | density (g/cm³) |
| --- | --- | --- |
| 1 | -4.41 | 5.8 |
| 2 | -1.77 | 6.0 |
| 3 | -1.33 | 7.3 |